The following is a PBE calculation of NaTl4SnPb after structural relaxation, from Alexandria via LeMat-Bulk.

```
14
Lattice="3.141 -7.721 0.000 3.141 7.721 0.000 0.000 0.000 10.461" Properties=species:S:1:pos:R:3 pbc="T T T"
Na 3.141 4.473 7.845
Na 3.141 -4.473 2.615
Tl 1.511 0.239 2.615
Tl 1.511 -0.239 7.845
Tl 3.141 2.998 0.234
Tl 3.141 2.998 4.996
Tl 3.141 -2.998 5.465
Tl 3.141 -2.998 10.226
Tl 4.772 0.239 2.615
Tl 4.772 -0.239 7.845
Sn 3.141 0.000 0.000
Sn 3.141 0.000 5.230
Pb 3.141 5.016 2.615
Pb 3.141 -5.016 7.845
```

Total DFT energy (no corrections) (eV per cell): -35.00
Symmetry: Cmcm, No. 63
ρ (g/cm3): 7.63
D(E_F) (states/eV/cell): 6.9

***

The following is a PBE calculation of KGa12Sn6 after structural relaxation, from Alexandria via LeMat-Bulk.

```
19
Lattice="6.783 3.916 2.976 -6.783 3.916 2.976 0.000 -7.832 2.976" Properties=species:S:1:pos:R:3 pbc="T T T"
K 0.000 0.000 0.000
Ga -2.712 -4.698 4.463
Ga -5.424 0.000 4.463
Ga -1.400 -0.808 3.144
Ga 1.400 -0.808 3.144
Ga 0.000 1.616 3.144
Ga 2.712 -4.698 4.463
Ga -2.712 4.698 4.463
Ga 0.000 -1.616 5.783
Ga -1.400 0.808 5.783
Ga 1.400 0.808 5.783
Ga 5.424 0.000 4.463
Ga 2.712 4.698 4.463
Sn -3.388 -1.956 4.798
Sn 0.000 -3.912 4.128
Sn -3.388 1.956 4.128
Sn 3.388 -1.956 4.798
Sn 0.000 3.912 4.798
Sn 3.388 1.956 4.128
```

Total DFT energy (no corrections) (eV per cell): -60.62
Symmetry: R-3m, No. 166
ρ (g/cm3): 5.56
D(E_F) (states/eV/cell): 7.8

***

The following is a PBE calculation of ZnH2SI2 after structural relaxation, from Alexandria via LeMat-Bulk.

```
12
Lattice="7.751 -4.650 0.000 7.751 4.650 0.000 0.000 0.000 6.086" Properties=species:S:1:pos:R:3 pbc="T T T"
Zn 7.751 2.483 3.043
Zn 7.751 -2.483 0.000
H 6.762 1.990 5.872
H 8.739 1.990 5.872
H 6.762 -1.990 2.829
H 8.739 -1.990 2.829
S 7.751 1.351 5.158
S 7.751 -1.351 2.115
I 5.500 2.799 2.008
I 10.002 2.799 2.008
I 5.500 -2.799 5.050
I 10.002 -2.799 5.050
```

Total DFT energy (no corrections) (eV per cell): -34.36
Symmetry: Cmc2_1, No. 36
ρ (g/cm3): 2.67
D(E_F) (states/eV/cell): 0.0

***

The following is a PBE calculation of TlBiSb3 after structural relaxation, from Alexandria via LeMat-Bulk.

```
5
Lattice="5.647 0.000 0.000 0.000 5.647 0.000 0.000 0.000 5.647" Properties=species:S:1:pos:R:3 pbc="T T T"
Tl 0.000 0.000 0.000
Bi 2.823 2.823 2.823
Sb 0.000 0.000 2.823
Sb 0.000 2.823 0.000
Sb 2.823 0.000 0.000
```

Total DFT energy (no corrections) (eV per cell): -14.29
Symmetry: Pm-3m, No. 221
ρ (g/cm3): 7.18
D(E_F) (states/eV/cell): 5.4

***

The following is a PBE calculation of Dy2Pd9Pb after structural relaxation, from Alexandria via LeMat-Bulk.

```
12
Lattice="4.124 0.000 0.000 0.000 4.124 0.000 0.000 0.000 12.327" Properties=species:S:1:pos:R:3 pbc="T T T"
Dy 0.000 0.000 2.051
Dy 0.000 0.000 10.276
Pd 0.000 2.062 0.000
Pd 0.000 2.062 4.119
Pd 0.000 2.062 8.208
Pd 2.062 0.000 0.000
Pd 2.062 0.000 4.119
Pd 2.062 0.000 8.208
Pd 2.062 2.062 2.075
Pd 2.062 2.062 6.163
Pd 2.062 2.062 10.252
Pb 0.000 0.000 6.163
```

Total DFT energy (no corrections) (eV per cell): -67.86
Symmetry: P4/mmm, No. 123
ρ (g/cm3): 11.80
D(E_F) (states/eV/cell): 5.0

***

The following is a PBE calculation of LaGePt2 after structural relaxation, from Alexandria via LeMat-Bulk.

```
8
Lattice="-2.518 2.518 7.902 2.518 -2.518 7.902 2.518 2.518 -7.902" Properties=species:S:1:pos:R:3 pbc="T T T"
La 0.000 0.000 0.000
La 0.000 2.518 3.951
Ge 2.518 0.000 3.951
Ge 0.000 0.000 7.902
Pt 1.259 -0.643 5.926
Pt 1.875 1.259 1.975
Pt 1.259 3.161 -1.975
Pt 0.643 1.259 9.877
```

Total DFT energy (no corrections) (eV per cell): -48.87
Symmetry: I-42d, No. 122
ρ (g/cm3): 9.97
D(E_F) (states/eV/cell): 3.2

***

What is the total DFT energy (no corrections) in the fourth record?
-14.29 eV per cell

***

Among the records above, which one has the lowest total DFT energy (no corrections)?
Dy2Pd9Pb

***

Look up the D(E_F) of the fourth one.
5.4 states/eV/cell